1.
! meta-GGA SCAN MgMn2Cl, single point on PBEsol structure; values from VASP
! SG = P4mm
! ΔE to the lowest computed polymorph = 0.000 eV/atom
&SYSTEM
  ibrav = 0, nat = 4, ntyp = 3
/
ATOMIC_SPECIES
Cl 35.45 Cl.upf
Mg 24.30 Mg.upf
Mn 54.94 Mn.upf
CELL_PARAMETERS angstrom
-1.9459 -1.0828 2.0131
2.1017 -1.8870 1.0166
2.2576 5.1956 4.9769
ATOMIC_POSITIONS crystal
Cl 0.0000 0.0000 0.5582
Mg 0.5000 0.5000 0.7591
Mn 0.0000 0.0000 0.0181
Mn 0.5000 0.5000 0.1646


2.
! meta-GGA SCAN KTiAs3, single point on PBEsol structure; values from VASP
! calculated formation energy = 1.613 eV/atom
! SG = Pm-3m
&SYSTEM
  ibrav = 0, nat = 5, ntyp = 3
/
ATOMIC_SPECIES
As 74.92 As.upf
K 39.10 K.upf
Ti 47.87 Ti.upf
CELL_PARAMETERS angstrom
-4.7533 -1.1342 1.4132
1.7953 -3.4862 3.2405
0.2459 3.5266 3.6578
ATOMIC_POSITIONS crystal
As 0.0000 0.5000 0.0000
As 0.0000 0.0000 0.5000
As 0.5000 0.0000 0.0000
K 0.0000 0.0000 0.0000
Ti 0.5000 0.5000 0.5000


3.
! meta-GGA SCAN SmPO4, single point on PBEsol structure; values from VASP
! calculated total energy = -16.627 eV/atom
! SG = P2_1/c
&SYSTEM
  ibrav = 0, nat = 24, ntyp = 3
/
ATOMIC_SPECIES
Sm 150.36 Sm.upf
P 30.97 P.upf
O 16.00 O.upf
CELL_PARAMETERS angstrom
-0.7712 3.1223 5.4439
-5.9591 -2.8047 -1.1094
1.9800 -5.5848 3.4836
ATOMIC_POSITIONS crystal
Sm 0.5981 0.7824 0.6554
Sm 0.9019 0.7176 0.1554
Sm 0.4019 0.2176 0.3446
Sm 0.0981 0.2824 0.8446
P 0.1130 0.8024 0.6614
P 0.3870 0.6976 0.1614
P 0.8870 0.1976 0.3386
P 0.6130 0.3024 0.8386
O 0.2139 0.6209 0.7110
O 0.2861 0.8791 0.2110
O 0.7861 0.3791 0.2890
O 0.7139 0.1209 0.7890
O 0.3148 0.9733 0.6024
O 0.1852 0.5267 0.1024
O 0.6852 0.0267 0.3976
O 0.8148 0.4733 0.8976
O 0.4360 0.2500 0.9982
O 0.0640 0.2500 0.4982
O 0.5640 0.7500 0.0018
O 0.9360 0.7500 0.5018
O 0.4996 0.3833 0.6645
O 0.0004 0.1167 0.1645
O 0.5004 0.6167 0.3355
O 0.9996 0.8833 0.8355


4.
! meta-GGA SCAN As4S3, single point on PBEsol structure; values from VASP
! calculated total energy = -15.800 eV/atom
! SG = Pnma
&SYSTEM
  ibrav = 0, nat = 28, ntyp = 2
/
ATOMIC_SPECIES
As 74.92 As.upf
S 32.06 S.upf
CELL_PARAMETERS angstrom
-0.7747 -4.0911 -6.6716
3.6006 -7.1608 3.9730
-9.2118 -3.0132 2.9175
ATOMIC_POSITIONS crystal
As 0.9102 0.8544 0.2720
As 0.4102 0.1456 0.7280
As 0.5898 0.3544 0.2280
As 0.0898 0.6456 0.7720
As 0.9102 0.3544 0.2280
As 0.4102 0.6456 0.7720
As 0.5898 0.8544 0.2720
As 0.0898 0.1456 0.7280
As 0.7500 0.5296 0.0809
As 0.2500 0.4704 0.9191
As 0.7500 0.0296 0.4191
As 0.2500 0.9704 0.5809
As 0.7500 0.1590 0.9415
As 0.2500 0.8410 0.0585
As 0.7500 0.6590 0.5585
As 0.2500 0.3410 0.4415
S 0.7500 0.4057 0.8905
S 0.2500 0.5943 0.1095
S 0.7500 0.9057 0.6095
S 0.2500 0.0943 0.3905
S 0.0357 0.8354 0.9093
S 0.5357 0.1646 0.0907
S 0.4643 0.3354 0.5907
S 0.9643 0.6646 0.4093
S 0.9643 0.1646 0.0907
S 0.4643 0.8354 0.9093
S 0.5357 0.6646 0.4093
S 0.0357 0.3354 0.5907


5.
! meta-GGA SCAN TaMnBe2, single point on PBEsol structure; values from VASP
! calculated formation energy = 0.343 eV/atom
! SG = R3m
! ΔE to the lowest computed polymorph = 0.291 eV/atom
&SYSTEM
  ibrav = 0, nat = 4, ntyp = 3
/
ATOMIC_SPECIES
Be 9.01 Be.upf
Mn 54.94 Mn.upf
Ta 180.95 Ta.upf
CELL_PARAMETERS angstrom
-2.5662 0.5181 0.3064
-1.7983 -1.8078 -0.6674
-1.1740 -3.4834 7.3934
ATOMIC_POSITIONS crystal
Be 0.0087 0.0087 0.9739
Be 0.7492 0.7492 0.7523
Mn 0.4908 0.4908 0.5276
Ta 0.2513 0.2513 0.2462


6.
! meta-GGA SCAN Cd2InPd2, single point on PBEsol structure; values from VASP
! calculated formation energy = -0.169 eV/atom
! SG = I4/mmm
! ΔE to the lowest computed polymorph = 0.202 eV/atom
&SYSTEM
  ibrav = 0, nat = 5, ntyp = 3
/
ATOMIC_SPECIES
Cd 112.41 Cd.upf
Pd 106.42 Pd.upf
In 114.82 In.upf
CELL_PARAMETERS angstrom
3.7873 0.0000 0.0000
0.0000 3.7873 0.0000
-1.8937 -1.8937 6.6830
ATOMIC_POSITIONS crystal
Cd 0.2500 0.7500 0.5000
Cd 0.7500 0.2500 0.5000
Pd 0.4037 0.4037 0.8073
Pd 0.5963 0.5963 0.1927
In 0.0000 0.0000 0.0000


7.
! meta-GGA SCAN Ti2P4H9C2NO16, single point on PBEsol structure; values from VASP
! calculated total energy = -8.742 eV/atom
! SG = P2_1/c
&SYSTEM
  ibrav = 0, nat = 136, ntyp = 6
/
ATOMIC_SPECIES
Ti 47.87 Ti.upf
P 30.97 P.upf
H 1.01 H.upf
C 12.01 C.upf
N 14.01 N.upf
O 16.00 O.upf
CELL_PARAMETERS angstrom
-0.1122 -5.7843 -2.6045
6.8186 -3.5077 7.4964
-19.0739 -3.2264 7.9875
ATOMIC_POSITIONS crystal
Ti 0.5273 0.3953 0.7022
Ti 0.9727 0.8953 0.2022
Ti 0.4727 0.6047 0.2978
Ti 0.0273 0.1047 0.7978
Ti 0.0356 0.6062 0.8953
Ti 0.4644 0.1062 0.3953
Ti 0.9644 0.3938 0.1047
Ti 0.5356 0.8938 0.6047
P 0.6911 0.6657 0.6723
P 0.8089 0.1657 0.1723
P 0.3089 0.3343 0.3277
P 0.1911 0.8343 0.8277
P 0.0307 0.3859 0.7463
P 0.4693 0.8859 0.2463
P 0.9693 0.6141 0.2537
P 0.5307 0.1141 0.7537
P 0.5420 0.5286 0.8687
P 0.9580 0.0286 0.3687
P 0.4580 0.4714 0.1313
P 0.0420 0.9714 0.6313
P 0.0768 0.3184 0.9448
P 0.4232 0.8184 0.4448
P 0.9232 0.6816 0.0552
P 0.5768 0.1816 0.5552
H 0.8233 0.8213 0.7553
H 0.6767 0.3213 0.2553
H 0.1767 0.1787 0.2447
H 0.3233 0.6787 0.7447
H 0.7533 0.4011 0.9036
H 0.7467 0.9011 0.4036
H 0.2467 0.5989 0.0964
H 0.2533 0.0989 0.5964
H 0.4246 0.3568 0.9283
H 0.0754 0.8568 0.4283
H 0.5754 0.6432 0.0717
H 0.9246 0.1432 0.5717
H 0.9699 0.6420 0.5767
H 0.5301 0.1420 0.0767
H 0.0301 0.3580 0.4233
H 0.4699 0.8580 0.9233
H 0.0930 0.7241 0.5258
H 0.4070 0.2241 0.0258
H 0.9070 0.2759 0.4742
H 0.5930 0.7759 0.9742
H 0.3254 0.5773 0.5607
H 0.1746 0.0773 0.0607
H 0.6746 0.4227 0.4393
H 0.8254 0.9227 0.9393
H 0.2903 0.5337 0.4722
H 0.2097 0.0337 0.9722
H 0.7097 0.4663 0.5278
H 0.7903 0.9663 0.0278
H 0.9451 0.5808 0.4269
H 0.5549 0.0808 0.9269
H 0.0549 0.4192 0.5731
H 0.4451 0.9192 0.0731
H 0.7464 0.6611 0.4844
H 0.7536 0.1611 0.9844
H 0.2536 0.3389 0.5156
H 0.2464 0.8389 0.0156
C 0.2126 0.5404 0.5201
C 0.2874 0.0404 0.0201
C 0.7874 0.4596 0.4799
C 0.7126 0.9596 0.9799
C 0.8735 0.5889 0.4759
C 0.6265 0.0889 0.9759
C 0.1265 0.4111 0.5241
C 0.3735 0.9111 0.0241
N 0.0369 0.6342 0.5276
N 0.4631 0.1342 0.0276
N 0.9631 0.3658 0.4724
N 0.5369 0.8658 0.9724
O 0.2231 0.3907 0.7024
O 0.2769 0.8907 0.2024
O 0.7769 0.6093 0.2976
O 0.7231 0.1093 0.7976
O 0.5339 0.3077 0.6085
O 0.9661 0.8077 0.1085
O 0.4661 0.6923 0.3915
O 0.0339 0.1923 0.8915
O 0.8314 0.3927 0.7059
O 0.6686 0.8927 0.2059
O 0.1686 0.6073 0.2941
O 0.3314 0.1073 0.7941
O 0.5145 0.4977 0.7944
O 0.9855 0.9977 0.2944
O 0.4855 0.5023 0.2056
O 0.0145 0.0023 0.7056
O 0.5307 0.2370 0.7292
O 0.9693 0.7370 0.2292
O 0.4693 0.7630 0.2708
O 0.0307 0.2630 0.7708
O 0.5308 0.5623 0.6808
O 0.9692 0.0623 0.1808
O 0.4692 0.4377 0.3192
O 0.0308 0.9377 0.8192
O 0.0370 0.5039 0.8076
O 0.4630 0.0039 0.3076
O 0.9630 0.4961 0.1924
O 0.5370 0.9961 0.6924
O 0.3386 0.5814 0.9051
O 0.1614 0.0814 0.4051
O 0.6614 0.4186 0.0949
O 0.8386 0.9186 0.5949
O 0.0233 0.6924 0.9901
O 0.4767 0.1924 0.4901
O 0.9767 0.3076 0.0099
O 0.5233 0.8076 0.5099
O 0.7267 0.6205 0.8940
O 0.7733 0.1205 0.3940
O 0.2733 0.3795 0.1060
O 0.2267 0.8795 0.6060
O 0.0719 0.7593 0.8724
O 0.4281 0.2593 0.3724
O 0.9281 0.2407 0.1276
O 0.5719 0.7407 0.6276
O 0.9819 0.4326 0.9226
O 0.5181 0.9326 0.4226
O 0.0181 0.5674 0.0774
O 0.4819 0.0674 0.5774
O 0.7073 0.7578 0.7443
O 0.7927 0.2578 0.2443
O 0.2927 0.2422 0.2557
O 0.2073 0.7422 0.7557
O 0.8973 0.6173 0.6409
O 0.6027 0.1173 0.1409
O 0.1027 0.3827 0.3591
O 0.3973 0.8827 0.8591
O 0.5962 0.3983 0.8886
O 0.9038 0.8983 0.3886
O 0.4038 0.6017 0.1114
O 0.0962 0.1017 0.6114
O 0.3173 0.3349 0.9604
O 0.1827 0.8349 0.4604
O 0.6827 0.6651 0.0396
O 0.8173 0.1651 0.5396


8.
! meta-GGA SCAN MnTeRu2, single point on PBEsol structure; values from VASP
! calculated total energy = -30.952 eV/atom
! SG = C2/m
&SYSTEM
  ibrav = 0, nat = 4, ntyp = 3
/
ATOMIC_SPECIES
Mn 54.94 Mn.upf
Ru 101.07 Ru.upf
Te 127.60 Te.upf
CELL_PARAMETERS angstrom
-2.2209 1.8925 0.1432
-2.5856 -3.5735 1.8429
3.6595 2.0098 3.0370
ATOMIC_POSITIONS crystal
Mn 0.0000 0.5000 0.0000
Ru 0.0000 0.0000 0.5000
Ru 0.5000 0.5000 0.5000
Te 0.5000 0.0000 0.0000